(1)
# NdPS4I | Alexandria via LeMat-Bulk | GGA-PBE | relaxed
# Energy (Ry/atom): -0.355
# Formation energy from raw total energies (eV per atom): -0.797
data_NdPS4I
_symmetry_space_group_name_H-M 'C 1 2/m 1'
_symmetry_Int_Tables_number 12
_cell_length_a 14.0444
_cell_length_b 8.8995
_cell_length_c 7.4095
_cell_angle_alpha 90.00
_cell_angle_beta 108.65
_cell_angle_gamma 90.00
loop_
_symmetry_equiv_pos_as_xyz
'x,y,z'
'-x,-y,-z'
'-x,y,-z'
'x,-y,z'
'x+1/2,y+1/2,z'
'-x+1/2,-y+1/2,-z'
'-x+1/2,y+1/2,-z'
'x+1/2,-y+1/2,z'
loop_
_atom_site_label
_atom_site_fract_x
_atom_site_fract_y
_atom_site_fract_z
Nd1 0.1852 0.0000 0.0780
P1 0.1630 0.5000 0.2651
S1 0.0065 0.5000 0.1460
S2 0.1659 0.5000 0.5351
S3 0.2283 0.3256 0.1600
I1 0.0156 0.0000 0.2662

(2)
# Nd4PSI2 | Alexandria via LeMat-Bulk | GGA-PBE | relaxed
# Energy (Ry/atom): -0.396
# Formation energy from raw total energies (eV per atom): -1.421
data_Nd4PSI2
_symmetry_space_group_name_H-M 'P 1 2/m 1'
_symmetry_Int_Tables_number 10
_cell_length_a 7.2480
_cell_length_b 4.2250
_cell_length_c 8.0311
_cell_angle_alpha 90.00
_cell_angle_beta 107.78
_cell_angle_gamma 90.00
loop_
_symmetry_equiv_pos_as_xyz
'x,y,z'
'-x,-y,-z'
'-x,y,-z'
'x,-y,z'
loop_
_atom_site_label
_atom_site_fract_x
_atom_site_fract_y
_atom_site_fract_z
Nd1 0.2263 0.0000 0.1845
Nd2 0.2699 0.5000 0.8134
P1 0.5000 0.0000 0.0000
S1 0.0000 0.5000 0.0000
I1 0.0000 0.0000 0.5000
I2 0.5000 0.5000 0.5000

(3)
# Nd6P2S3I | Alexandria via LeMat-Bulk | GGA-PBE | relaxed
# Energy (Ry/atom): -0.451
# Formation energy from raw total energies (eV per atom): -1.689
data_Nd6P2S3I
_symmetry_space_group_name_H-M 'C 1 2/m 1'
_symmetry_Int_Tables_number 12
_cell_length_a 18.1268
_cell_length_b 4.1568
_cell_length_c 8.4389
_cell_angle_alpha 90.00
_cell_angle_beta 102.40
_cell_angle_gamma 90.00
loop_
_symmetry_equiv_pos_as_xyz
'x,y,z'
'-x,-y,-z'
'-x,y,-z'
'x,-y,z'
'x+1/2,y+1/2,z'
'-x+1/2,-y+1/2,-z'
'-x+1/2,y+1/2,-z'
'x+1/2,-y+1/2,z'
loop_
_atom_site_label
_atom_site_fract_x
_atom_site_fract_y
_atom_site_fract_z
Nd1 0.0053 0.0000 0.2886
Nd2 0.1684 0.5000 0.5787
Nd3 0.1816 0.5000 0.1036
P1 0.1676 0.0000 0.3335
S1 0.0000 0.5000 0.5000
S2 0.1599 0.0000 0.8354
I1 0.0000 0.5000 0.0000

(4)
# Nd6P3Se2I | Alexandria via LeMat-Bulk | GGA-PBE | relaxed
# Energy (Ry/atom): -0.446
# Formation energy from raw total energies (eV per atom): -1.622
data_Nd6P3Se2I
_symmetry_space_group_name_H-M 'C 1 2/m 1'
_symmetry_Int_Tables_number 12
_cell_length_a 18.7276
_cell_length_b 4.1920
_cell_length_c 8.6486
_cell_angle_alpha 90.00
_cell_angle_beta 105.53
_cell_angle_gamma 90.00
loop_
_symmetry_equiv_pos_as_xyz
'x,y,z'
'-x,-y,-z'
'-x,y,-z'
'x,-y,z'
'x+1/2,y+1/2,z'
'-x+1/2,-y+1/2,-z'
'-x+1/2,y+1/2,-z'
'x+1/2,-y+1/2,z'
loop_
_atom_site_label
_atom_site_fract_x
_atom_site_fract_y
_atom_site_fract_z
Nd1 0.0046 0.0000 0.2169
Nd2 0.1625 0.5000 0.0954
Nd3 0.1796 0.5000 0.5749
P1 0.0000 0.5000 0.0000
P2 0.1641 0.0000 0.3322
Se1 0.1659 0.0000 0.8305
I1 0.0000 0.5000 0.5000

(5)
# Nd6P2Se3I | Alexandria via LeMat-Bulk | GGA-PBE | relaxed
# Energy (Ry/atom): -0.434
# Formation energy from raw total energies (eV per atom): -1.618
data_Nd6P2Se3I
_symmetry_space_group_name_H-M 'C 1 2/m 1'
_symmetry_Int_Tables_number 12
_cell_length_a 18.4807
_cell_length_b 4.2369
_cell_length_c 8.6152
_cell_angle_alpha 90.00
_cell_angle_beta 102.29
_cell_angle_gamma 90.00
loop_
_symmetry_equiv_pos_as_xyz
'x,y,z'
'-x,-y,-z'
'-x,y,-z'
'x,-y,z'
'x+1/2,y+1/2,z'
'-x+1/2,-y+1/2,-z'
'-x+1/2,y+1/2,-z'
'x+1/2,-y+1/2,z'
loop_
_atom_site_label
_atom_site_fract_x
_atom_site_fract_y
_atom_site_fract_z
Nd1 0.0117 0.0000 0.2845
Nd2 0.1711 0.5000 0.5736
Nd3 0.1800 0.5000 0.1173
P1 0.1693 0.0000 0.3379
Se1 0.0000 0.5000 0.5000
Se2 0.1586 0.0000 0.8388
I1 0.0000 0.5000 0.0000

(6)
# Nd8P3SeI4 | Alexandria via LeMat-Bulk | GGA-PBE | relaxed
# Energy (Ry/atom): -0.395
# Formation energy from raw total energies (eV per atom): -1.372
data_Nd8P3SeI4
_symmetry_space_group_name_H-M 'R -3 m'
_symmetry_Int_Tables_number 166
_symmetry_space_group_name_Hall '-R 3 2"'
_cell_length_a 8.5135
_cell_length_b 8.5135
_cell_length_c 22.9675
_cell_angle_alpha 90.00
_cell_angle_beta 90.00
_cell_angle_gamma 120.00
loop_
_atom_site_label
_atom_site_fract_x
_atom_site_fract_y
_atom_site_fract_z
Nd1 0.0000 0.0000 0.2294
Nd2 0.0120 0.5060 0.7706
P1 0.0000 0.5000 0.5000
Se1 0.0000 0.0000 0.5000
I1 0.0000 0.0000 0.0000
I2 0.0000 0.5000 0.0000

(7)
# Nd4PSe2I | Alexandria via LeMat-Bulk | GGA-PBE | relaxed
# Energy (Ry/atom): -0.416
# Formation energy from raw total energies (eV per atom): -1.537
data_Nd4PSe2I
_symmetry_space_group_name_H-M 'P 1 2/m 1'
_symmetry_Int_Tables_number 10
_cell_length_a 7.3359
_cell_length_b 4.2622
_cell_length_c 7.6241
_cell_angle_alpha 90.00
_cell_angle_beta 109.04
_cell_angle_gamma 90.00
loop_
_symmetry_equiv_pos_as_xyz
'x,y,z'
'-x,-y,-z'
'-x,y,-z'
'x,-y,z'
loop_
_atom_site_label
_atom_site_fract_x
_atom_site_fract_y
_atom_site_fract_z
Nd1 0.2341 0.0000 0.2078
Nd2 0.2576 0.5000 0.7843
P1 0.5000 0.0000 0.0000
Se1 0.0000 0.0000 0.5000
Se2 0.0000 0.5000 0.0000
I1 0.5000 0.5000 0.5000

(8)
# Nd6SiP2I3 | Alexandria via LeMat-Bulk | GGA-PBE | relaxed
# Energy (Ry/atom): -0.394
# Formation energy from raw total energies (eV per atom): -1.235
data_Nd6SiP2I3
_symmetry_space_group_name_H-M 'C 1 2/m 1'
_symmetry_Int_Tables_number 12
_cell_length_a 19.7433
_cell_length_b 4.2543
_cell_length_c 9.1533
_cell_angle_alpha 90.00
_cell_angle_beta 108.93
_cell_angle_gamma 90.00
loop_
_symmetry_equiv_pos_as_xyz
'x,y,z'
'-x,-y,-z'
'-x,y,-z'
'x,-y,z'
'x+1/2,y+1/2,z'
'-x+1/2,-y+1/2,-z'
'-x+1/2,y+1/2,-z'
'x+1/2,-y+1/2,z'
loop_
_atom_site_label
_atom_site_fract_x
_atom_site_fract_y
_atom_site_fract_z
Nd1 0.0145 0.0000 0.2216
Nd2 0.1545 0.5000 0.1177
Nd3 0.1802 0.5000 0.5480
Si1 0.0000 0.5000 0.0000
P1 0.1677 0.0000 0.3339
I1 0.0000 0.5000 0.5000
I2 0.1659 0.0000 0.8316